1.
# LiBi2Te2

A geometry-optimized LiBi2Te2 structure (PBE, Alexandria via LeMat-Bulk).

Structure (POSCAR):
```
LiBi2Te2
1.0
4.510 0.000 0.000
0.000 4.510 0.000
2.255 2.255 8.327
Te Bi Li
2 2 1
Direct
0.411 0.411 0.179 Te
0.589 0.589 0.821 Te
0.750 0.250 0.500 Bi
0.250 0.750 0.500 Bi
0.000 0.000 0.000 Li
```

Summary:
Space group: I4/mmm, No. 139
Crystal system: tetragonal
Uncorrected energy (Ry per atom): -0.238
Polymorph energy (0 for the lowest one) (eV per atom): 0.105

2.
# UTlIO6

A geometry-optimized UTlIO6 structure (PBE, Alexandria via LeMat-Bulk).

Structure (POSCAR):
```
UTlIO6
1.0
-0.477 4.855 3.023
-1.707 -4.982 2.283
11.147 -1.735 4.547
U Tl I O
2 2 2 12
Direct
0.667 0.333 0.250 U
0.333 0.667 0.750 U
0.000 0.000 0.000 Tl
0.000 0.000 0.500 Tl
0.333 0.667 0.250 I
0.667 0.333 0.750 I
0.618 0.619 0.158 O
0.001 0.382 0.158 O
0.382 0.001 0.658 O
0.999 0.618 0.842 O
0.381 0.382 0.342 O
0.001 0.619 0.342 O
0.619 0.001 0.842 O
0.618 0.999 0.342 O
0.999 0.381 0.658 O
0.381 0.999 0.158 O
0.619 0.618 0.658 O
0.382 0.381 0.842 O
```

Summary:
Space group: P-31c, No. 163
Crystal system: trigonal
Uncorrected energy (Ry per atom): -0.481

3.
# La8TbEr5

A geometry-optimized La8TbEr5 structure (PBE, Alexandria via LeMat-Bulk).

Structure (POSCAR):
```
La8TbEr5
1.0
8.650 -0.105 0.180
-3.025 8.104 -0.180
-2.599 -4.150 7.134
La Tb Er
8 1 5
Direct
0.161 0.727 0.071 La
0.929 0.091 0.657 La
0.738 0.263 0.340 La
0.660 0.398 0.923 La
0.525 0.602 0.262 La
0.566 0.909 0.839 La
0.343 0.273 0.434 La
0.077 0.737 0.475 La
0.250 0.500 0.750 Tb
0.034 0.307 0.127 Er
0.873 0.906 0.179 Er
0.821 0.693 0.727 Er
0.500 0.000 0.500 Er
0.273 0.094 0.966 Er
```

Summary:
Space group: I-4, No. 82
Crystal system: tetragonal
Uncorrected energy (Ry per atom): -0.333

4.
# ReOsRh2

A geometry-optimized ReOsRh2 structure (PBE, Alexandria via LeMat-Bulk).

Structure (POSCAR):
```
ReOsRh2
1.0
-2.782 1.363 1.040
0.922 -0.483 3.098
2.436 4.936 0.044
Re Os Rh
1 1 2
Direct
0.500 0.500 0.748 Re
0.000 0.000 0.501 Os
0.000 0.000 0.002 Rh
0.500 0.500 0.249 Rh
```

Summary:
Space group: P4mm, No. 99
Crystal system: tetragonal
Uncorrected energy (Ry per atom): -0.681
Polymorph energy (0 for the lowest one) (eV per atom): 0.387

5.
# Ac4Sm3PuSe8

A geometry-optimized Ac4Sm3PuSe8 structure (PBE, Alexandria via LeMat-Bulk).

Structure (POSCAR):
```
Ac4Sm3PuSe8
1.0
8.600 0.000 0.000
0.000 8.669 0.043
-4.300 -4.296 6.083
Ac Sm Pu Se
4 3 1 8
Direct
0.500 0.000 0.000 Ac
0.500 0.000 0.500 Ac
0.000 0.000 0.000 Ac
0.000 0.000 0.500 Ac
0.500 0.500 0.000 Sm
0.500 0.500 0.500 Sm
0.000 0.500 0.500 Sm
0.000 0.500 0.000 Pu
0.243 0.729 0.987 Se
0.243 0.729 0.485 Se
0.257 0.270 0.513 Se
0.744 0.729 0.987 Se
0.256 0.271 0.013 Se
0.743 0.730 0.487 Se
0.757 0.271 0.515 Se
0.757 0.271 0.013 Se
```

Summary:
Space group: R-3m, No. 166
Crystal system: trigonal
Uncorrected energy (Ry per atom): -0.467

6.
# Si6Ni21Ge2

A geometry-optimized Si6Ni21Ge2 structure (PBE, Alexandria via LeMat-Bulk).

Structure (POSCAR):
```
Si6Ni21Ge2
1.0
-4.157 -1.675 -6.470
-6.606 -4.243 0.555
-6.988 3.424 -1.184
Si Ni Ge
6 21 2
Direct
0.274 0.726 0.274 Si
0.726 0.274 0.274 Si
0.726 0.726 0.274 Si
0.726 0.274 0.726 Si
0.274 0.726 0.726 Si
0.274 0.274 0.726 Si
0.000 0.000 0.000 Ni
0.627 0.627 0.120 Ni
0.627 0.627 0.627 Ni
0.627 0.120 0.627 Ni
0.120 0.627 0.627 Ni
0.373 0.373 0.880 Ni
0.373 0.373 0.373 Ni
0.373 0.880 0.373 Ni
0.880 0.373 0.373 Ni
0.655 0.000 0.345 Ni
0.000 0.655 0.345 Ni
0.000 0.000 0.345 Ni
0.000 0.655 0.000 Ni
0.655 0.000 0.000 Ni
0.000 0.000 0.655 Ni
0.000 0.345 0.000 Ni
0.000 0.345 0.655 Ni
0.655 0.345 0.000 Ni
0.345 0.000 0.655 Ni
0.345 0.000 0.000 Ni
0.345 0.655 0.000 Ni
0.750 0.750 0.750 Ge
0.250 0.250 0.250 Ge
```

Summary:
Space group: Fm-3m, No. 225
Crystal system: cubic
Uncorrected energy (Ry per atom): -0.435

7.
# Mg2Zn

A geometry-optimized Mg2Zn structure (PBE, Alexandria via LeMat-Bulk).

Structure (POSCAR):
```
Mg2Zn
1.0
3.127 0.000 0.000
1.563 7.734 0.000
0.000 0.000 4.958
Mg Zn
4 2
Direct
0.654 0.692 0.000 Mg
0.337 0.326 0.000 Mg
0.218 0.563 0.500 Mg
0.901 0.197 0.500 Mg
0.999 0.003 0.000 Zn
0.557 0.886 0.500 Zn
```

Summary:
Space group: Cmcm, No. 63
Crystal system: orthorhombic
Uncorrected energy (Ry per atom): -0.110

8.
# Pr3Sm2Tm8

A geometry-optimized Pr3Sm2Tm8 structure (PBE, Alexandria via LeMat-Bulk).

Structure (POSCAR):
```
Pr3Sm2Tm8
1.0
5.949 0.807 1.472
-0.456 5.165 3.343
-1.423 -2.612 11.398
Pr Sm Tm
3 2 8
Direct
0.000 0.000 0.000 Pr
0.462 0.310 0.921 Pr
0.538 0.690 0.079 Pr
0.770 0.846 0.538 Sm
0.230 0.154 0.462 Sm
0.075 0.379 0.158 Tm
0.925 0.621 0.842 Tm
0.152 0.766 0.310 Tm
0.848 0.234 0.690 Tm
0.387 0.927 0.765 Tm
0.308 0.539 0.614 Tm
0.692 0.461 0.386 Tm
0.613 0.073 0.235 Tm
```

Summary:
Space group: P-1, No. 2
Crystal system: triclinic
Uncorrected energy (Ry per atom): -0.335
Polymorph energy (0 for the lowest one) (eV per atom): 0.000

N(E_F) for the records above, in order: 1.001 0.000 1.590 1.250 0.994 1.112 0.377 1.402 states/eV per atom